! GaTeCl (PBE, optimized geometry); values from VASP
&SYSTEM
  ibrav = 0, nat = 3, ntyp = 3
/
ATOMIC_SPECIES
Te 127.60 Te.upf
Cl 35.45 Cl.upf
Ga 69.72 Ga.upf
ATOMIC_POSITIONS crystal
Te 0.158 0.347 0.950
Cl 0.654 0.343 0.451
Ga 0.764 0.560 0.771
CELL_PARAMETERS angstrom
4.160 -0.065 -0.029
-2.032 3.553 -0.747
0.016 -0.939 7.109
! VASP energy in eV per atom: -3.3756
! Magnetic moment in μB per atom: 0.00